The following is a SCAN calculation of LiNdIn2 at its PBEsol-relaxed geometry, from the Alexandria database.

Values from the calculation:
- space group = Fm-3m, No. 225
- E_form (eV/f.u.) = -2.1
- magnetic moment (μB/f.u.) = 0.00

Lattice parameters (Å, degrees): 5.146 5.146 5.146 60.00 60.00 60.00
Fractional positions:
Li1 0.000 0.000 0.000
Nd1 0.500 0.500 0.500
In1 0.250 0.250 0.250
In2 0.750 0.750 0.750


The following is a SCAN calculation of Ba2SrY2Cu2PtO10 at its PBEsol-relaxed geometry, from the Alexandria database.

Values from the calculation:
- space group = C2/m, No. 12
- magnetic moment (μB/f.u.) = 2.00
- uncorrected energy (Ry per atom) = -1.4876

Lattice parameters (Å, degrees): 6.816 6.816 7.305 104.20 104.20 49.42
Fractional positions:
Ba1 0.151 0.151 0.031
Ba2 0.849 0.849 0.969
Sr1 0.000 0.000 0.500
Y1 0.310 0.310 0.625
Y2 0.690 0.690 0.375
Cu1 0.416 0.416 0.308
Cu2 0.584 0.584 0.692
Pt1 0.500 0.500 0.000
O1 0.087 0.561 0.380
O2 0.255 0.706 0.778
O3 0.294 0.745 0.222
O4 0.333 0.333 0.951
O5 0.439 0.913 0.620
O6 0.561 0.087 0.380
O7 0.667 0.667 0.049
O8 0.706 0.255 0.778
O9 0.745 0.294 0.222
O10 0.913 0.439 0.620


The following is a SCAN calculation of LaPt2Rh at its PBEsol-relaxed geometry, from the Alexandria database.

Values from the calculation:
- space group = I-4m2, No. 119
- E_form (eV/f.u.) = -2.2
- magnetic moment (μB/f.u.) = 0.00

Lattice parameters (Å, degrees): 5.019 5.019 5.019 130.70 130.70 72.29
Fractional positions:
La1 0.000 0.000 0.000
Pt1 0.500 0.500 0.000
Pt2 0.750 0.250 0.500
Rh1 0.250 0.750 0.500


The following is a SCAN calculation of KNaGeCl2 at its PBEsol-relaxed geometry, from the Alexandria database.

Values from the calculation:
- space group = P4/mmm, No. 123
- magnetic moment (μB/f.u.) = 0.00
- uncorrected energy (Ry per atom) = -0.7302

Lattice parameters (Å, degrees): 5.299 5.299 6.161 90.00 90.00 90.00
Fractional positions:
K1 0.000 0.000 0.000
Na1 0.500 0.500 0.000
Ge1 0.000 0.000 0.500
Cl1 0.000 0.500 0.500
Cl2 0.500 0.000 0.500


The following is a SCAN calculation of TcHgN2 at its PBEsol-relaxed geometry, from the Alexandria database.

Values from the calculation:
- space group = Fd-3m, No. 227
- magnetic moment (μB/f.u.) = 0.00
- uncorrected energy (Ry per atom) = -2.2291

Lattice parameters (Å, degrees): 5.897 5.897 5.897 60.00 60.00 60.00
Fractional positions:
Tc1 0.125 0.125 0.125
Tc2 0.875 0.875 0.875
Hg1 0.375 0.375 0.375
Hg2 0.625 0.625 0.625
N1 0.000 0.000 0.000
N2 0.000 0.000 0.500
N3 0.000 0.500 0.000
N4 0.500 0.000 0.000


The following is a SCAN calculation of LaOs2Rh at its PBEsol-relaxed geometry, from the Alexandria database.

Values from the calculation:
- space group = P4/mmm, No. 123
- E_form (eV/f.u.) = 1.8
- magnetic moment (μB/f.u.) = 0.00

Lattice parameters (Å, degrees): 2.837 2.837 8.380 90.00 90.00 90.00
Fractional positions:
La1 0.000 0.000 0.000
Os1 0.500 0.500 0.294
Os2 0.500 0.500 0.706
Rh1 0.000 0.000 0.500


The following is a SCAN calculation of Ta3PtI at its PBEsol-relaxed geometry, from the Alexandria database.

Values from the calculation:
- space group = Pm-3m, No. 221
- magnetic moment (μB/f.u.) = 0.00
- uncorrected energy (Ry per atom) = -4.4127

Lattice parameters (Å, degrees): 4.907 4.907 4.907 90.00 90.00 90.00
Fractional positions:
Ta1 0.000 0.000 0.500
Ta2 0.000 0.500 0.000
Ta3 0.500 0.000 0.000
Pt1 0.000 0.000 0.000
I1 0.500 0.500 0.500


The following is a SCAN calculation of KTa2In at its PBEsol-relaxed geometry, from the Alexandria database.

Values from the calculation:
- space group = C2/m, No. 12
- E_form (eV/f.u.) = 4.1
- magnetic moment (μB/f.u.) = 0.00

Lattice parameters (Å, degrees): 6.292 6.292 2.765 100.54 100.54 122.18
Fractional positions:
K1 0.000 0.000 0.000
Ta1 0.000 0.500 0.500
Ta2 0.500 0.000 0.500
In1 0.500 0.500 0.000


The following is a SCAN calculation of Ca2TlSb at its PBEsol-relaxed geometry, from the Alexandria database.

Values from the calculation:
- space group = P4/mmm, No. 123
- magnetic moment (μB/f.u.) = 0.00
- uncorrected energy (Ry per atom) = -2.4268

Lattice parameters (Å, degrees): 5.105 5.105 4.239 90.00 90.00 90.00
Fractional positions:
Ca1 0.000 0.500 0.000
Ca2 0.500 0.000 0.000
Tl1 0.000 0.000 0.500
Sb1 0.500 0.500 0.500


The following is a SCAN calculation of Ga3BiRu at its PBEsol-relaxed geometry, from the Alexandria database.

Values from the calculation:
- space group = Pm-3m, No. 221
- E_form (eV/f.u.) = 1.0
- magnetic moment (μB/f.u.) = 0.00

Lattice parameters (Å, degrees): 4.767 4.767 4.767 90.00 90.00 90.00
Fractional positions:
Ga1 0.000 0.000 0.500
Ga2 0.000 0.500 0.000
Ga3 0.500 0.000 0.000
Bi1 0.500 0.500 0.500
Ru1 0.000 0.000 0.000


The following is a SCAN calculation of Cu3Ag at its PBEsol-relaxed geometry, from the Alexandria database.

Values from the calculation:
- space group = P4/mmm, No. 123
- E_form (eV/f.u.) = 0.3
- magnetic moment (μB/f.u.) = 0.00

Lattice parameters (Å, degrees): 2.755 2.755 6.667 90.00 90.00 90.00
Fractional positions:
Cu1 0.000 0.000 0.000
Cu2 0.500 0.500 0.224
Cu3 0.500 0.500 0.776
Ag1 0.000 0.000 0.500


The following is a SCAN calculation of CoTcRu at its PBEsol-relaxed geometry, from the Alexandria database.

Values from the calculation:
- space group = I4mm, No. 107
- E_form (eV/f.u.) = 0.5
- magnetic moment (μB/f.u.) = 2.39

Lattice parameters (Å, degrees): 4.627 4.627 4.627 141.60 141.60 55.43
Fractional positions:
Co1 0.000 0.000 0.000
Tc1 0.347 0.347 0.000
Ru1 0.667 0.667 0.000